Entry 1:
Material: PrMgRh
Method: DFT, PBE
State: optimized geometry

Values from the calculation:
- Energy relative to the elements: -0.408 eV per atom

a b c (Å): 6.7331 6.7331 6.7331
angles (deg): 90.00 90.00 90.00
With the nearest neighbours (Å) after each atom.
Space group F-43m (No. 216)
Unique sites:
1 Pr 0.0000 0.0000 0.0000 x4  4 Rh 2.92
2 Mg 0.0000 0.0000 0.5000 x4  4 Rh 2.92
3 Rh 0.2500 0.2500 0.2500 x4  4 Pr 2.92, 4 Mg 2.92

---

Entry 2:
Material: Yb2Ge2O7
Method: DFT, PBE
State: optimized geometry

Values from the calculation:
- Formation energy from raw total energies: -2.240 eV/atom

a b c (Å): 10.0090 10.0090 10.0090
angles (deg): 90.00 90.00 90.00
With the nearest neighbours (Å) after each atom.
Space group Fd-3m (No. 227, origin choice 2)
Unique sites:
1 Yb 0.0000 0.0000 0.0000 x16  2 O 2.17
2 Ge 0.0000 0.0000 0.5000 x16  6 O 1.93
3 O 0.0769 0.3750 0.8750 x48  2 Ge 1.93
4 O 0.1250 0.1250 0.1250 x8  4 Yb 2.17

---

Entry 3:
Material: VNiTe2N
Method: DFT, PBE
State: optimized geometry

Values from the calculation:
- Formation energy from raw total energies: 0.387 eV/atom

a b c (Å): 5.2929 5.2929 3.5657
angles (deg): 90.00 90.00 90.00
With the nearest neighbours (Å) after each atom.
Space group P4/mmm (No. 123)
Unique sites:
1 V 0.0000 0.0000 0.0000 x1  2 N 1.78
2 Ni 0.5000 0.5000 0.5000 x1  8 Te 3.19, 2 Ni 3.57
3 Te 0.0000 0.5000 0.0000 x2  2 V 2.65
4 N 0.0000 0.0000 0.5000 x1  2 V 1.78

---

Q: Which calculated volume values were calculated for the entries above? A: 25.4; 11.4; 20.0, in A^3/atom.
Q: Which theoretical density values were calculated for the entries above? A: 5.83; 7.99; 6.30, in Mg/m³.
Q: Which M_tot values were calculated for the entries above? A: 0.000; 0.186; 0.116, in μB per atom.